VASP calculation (PBE-GGA) on a relaxed structure of HgPtBr3.

Unit cell a=5.180 b=5.180 c=5.180 alpha=90.00 beta=90.00 gamma=90.00
Fractional positions:
Hg 0.000 0.000 0.000
Pt 0.500 0.500 0.500
Br 0.000 0.500 0.500
Br 0.500 0.000 0.500
Br 0.500 0.500 0.000

Summary:
**Symmetry**: Pm-3m
**Crystal system**: cubic
**D(E_F)**: 0.528 states/eV per atom
**Electronic total energy**: -11.38 eV per cell
**Relative energy among the computed polymorphs**: 0.000 eV per atom